BeMoCl2F | PBE+U | relaxed

Values from the calculation:
- Crystal system: tetragonal
- Final energy: -3.224 eV/atom

a b c (Å): 4.8279 4.8279 5.0343
angles (deg): 90.00 90.00 90.00
Closest atoms and distances in Å follow each position.
Space group P4/mmm (No. 123)
Unique sites:
Be: 0.0000 0.0000 0.0000  2 Mo 2.52
Mo: 0.0000 0.0000 0.5000  4 Cl 2.41, 2 Be 2.52
Cl: 0.0000 0.5000 0.5000  2 Mo 2.41
F: 0.5000 0.5000 0.0000  4 Be 3.41, 8 Cl 3.49